(1)
A geometry-optimized LaCdAs2Au structure. Source: Alexandria via LeMat-Bulk, functional PBE.

The space group is C2/m (No. 12) and the conventional cell measures 16.179, 4.444 and 7.717 Å, with angles of 90.00, 115.77 and 90.00 degrees. The distinct sites, in fractional coordinates, are La at (0.249, 0.000, 0.247), Cd at (0.057, 0.000, 0.755), As at (0.127, 0.000, 0.478), As at (0.132, 0.500, 0.976) and Au at (0.105, 0.500, 0.284).

Its uncorrected energy is -22.0 eV per formula unit. The energy relative to the elements comes out at -708 meV/atom. The calculated density is 7.95 g/cm3.

=====

(2)
A geometry-optimized LaPmTmMg structure. Source: Alexandria via LeMat-Bulk, functional PBE.

The space group is P4mm (No. 99) and the conventional cell measures 3.716, 3.716 and 9.044 Å, with angles of 90.00, 90.00 and 90.00 degrees. The distinct sites, in fractional coordinates, are La at (0.000, 0.000, 0.000), Pm at (0.500, 0.500, 0.714), Tm at (0.500, 0.500, 0.272) and Mg at (0.000, 0.000, 0.483).

Its uncorrected energy is -15.8 eV per formula unit. The energy relative to the elements comes out at -19 meV/atom. The calculated density is 6.34 g/cm3.

=====

(3)
A geometry-optimized BeZn structure. Source: Alexandria via LeMat-Bulk, functional PBE.

The space group is I4_1/amd (No. 141, origin choice 2) and the conventional cell measures 3.560, 3.560 and 7.237 Å, with angles of 90.00, 90.00 and 90.00 degrees. The distinct sites, in fractional coordinates, are Be at (0.000, 0.250, 0.375) and Zn at (0.000, 0.250, 0.875).

Its uncorrected energy is -4.5 eV per formula unit. The energy relative to the elements comes out at 229 meV/atom. The calculated density is 5.39 g/cm3.